[1]
A relaxed YBeCdRe2 crystal, computed with PBE.

Output
The calculated total energy is -0.4810 Ry/atom. Its crystal system is tetragonal. The calculation puts the energy of formation at 0.66 eV per atom. Its space group is No. 123.

a = 4.305 Å, b = 4.305 Å, c = 4.823 Å
α = 90.00°, β = 90.00°, γ = 90.00°
Atoms (fractional coordinates):
Y 0.000 0.000 0.000
Be 0.000 0.000 0.500
Cd 0.500 0.500 0.000
Re 0.000 0.500 0.500
Re 0.500 0.000 0.500

***

[2]
A relaxed BeCdRh2 crystal, computed with PBE.

Output
The calculated total energy is -0.3641 Ry/atom. Its crystal system is tetragonal. The calculation puts the energy of formation at -0.12 eV per atom. Its space group is No. 99.

a = 2.920 Å, b = 2.920 Å, c = 6.675 Å
α = 90.00°, β = 90.00°, γ = 90.00°
Atoms (fractional coordinates):
Be 0.000 0.000 0.000
Cd 0.500 0.500 0.292
Rh 0.000 0.000 0.581
Rh 0.500 0.500 0.858

***

[3]
A relaxed BeCd2Rh crystal, computed with PBE.

Output
The calculated total energy is -0.2249 Ry/atom. Its crystal system is orthorhombic. The calculation puts the energy of formation at 0.17 eV per atom. Its space group is No. 47.

a = 3.078 Å, b = 3.682 Å, c = 5.690 Å
α = 90.00°, β = 90.00°, γ = 90.00°
Atoms (fractional coordinates):
Be 0.000 0.000 0.000
Cd 0.500 0.500 0.245
Cd 0.500 0.500 0.755
Rh 0.000 0.000 0.500